Entry 1:
## Nd5B (PBE-GGA)

Data for a geometry-optimized Nd5B structure.

Cell: 6.1648 6.1648 6.1011 Å, 90.00 90.00 120.00°
With the nearest neighbours (Å) after each atom.
Fractional positions:
B: 0.0000 0.0000 0.0000  6 Nd 3.56
Nd: 0.3333 0.6667 0.0000  9 Nd 3.53-3.56, 3 B 3.56
Nd: 0.6667 0.3333 0.0000  9 Nd 3.53-3.56, 3 B 3.56
Nd: 0.0000 0.5000 0.5000  4 Nd 3.08
Nd: 0.5000 0.5000 0.5000  4 Nd 3.08
Nd: 0.5000 0.0000 0.5000  4 Nd 3.08



Entry 2:
## NaTaHgPd (PBE-GGA)

Data for a geometry-optimized NaTaHgPd structure.

Cell: 4.6375 4.6375 4.6375 Å, 60.00 60.00 60.00°
With the nearest neighbours (Å) after each atom.
Fractional positions:
Hg: 0.5000 0.5000 0.5000  4 Pd 2.84, 4 Na 2.84
Pd: 0.2500 0.2500 0.2500  4 Hg 2.84, 4 Ta 2.84
Ta: 0.0000 0.0000 0.0000  4 Na 2.84, 4 Pd 2.84
Na: 0.7500 0.7500 0.7500  4 Ta 2.84, 4 Hg 2.84

**ΔE to the lowest computed polymorph**: 42 meV per atom



Entry 3:
## CsCuSiS3 (PBE-GGA)

Data for a geometry-optimized CsCuSiS3 structure.

Cell: 8.7023 3.6390 9.4955 Å, 90.00 116.15 90.00°
With the nearest neighbours (Å) after each atom.
Fractional positions:
Cs: 0.7641 0.7500 0.2226  7 S 3.49-3.71, 2 Cs 3.64, 3 Cu 3.80-3.90
Cs: 0.2359 0.2500 0.7774  7 S 3.49-3.71, 2 Cs 3.64, 3 Cu 3.80-3.90
S: 0.7643 0.2500 0.9085  1 Si 2.29, 3 Cu 2.37-2.40
S: 0.4726 0.7500 0.6254  3 Si 2.28-2.44
S: 0.1528 0.2500 0.3594  1 Cu 2.30, 2 Si 2.41
S: 0.5274 0.2500 0.3746  3 Si 2.28-2.44
S: 0.8472 0.7500 0.6406  1 Cu 2.30, 2 Si 2.41
S: 0.2357 0.7500 0.0915  1 Si 2.29, 3 Cu 2.37-2.40
Cu: 0.0620 0.2500 0.0919  4 S 2.30-2.40, 2 Cu 2.42
Cu: 0.9380 0.7500 0.9081  4 S 2.30-2.40, 2 Cu 2.42
Si: 0.3331 0.7500 0.3579  6 S 2.28-2.44
Si: 0.6669 0.2500 0.6421  6 S 2.28-2.44

**ΔE to the lowest computed polymorph**: 0 meV per atom



Entry 4:
## NaNbTcSb (PBE-GGA)

Data for a geometry-optimized NaNbTcSb structure.

Cell: 4.6754 4.6754 4.6754 Å, 60.00 60.00 60.00°
With the nearest neighbours (Å) after each atom.
Fractional positions:
Sb: 0.0000 0.0000 0.0000  4 Na 2.86, 4 Nb 2.86
Na: 0.7500 0.7500 0.7500  4 Tc 2.86, 4 Sb 2.86
Tc: 0.5000 0.5000 0.5000  4 Na 2.86, 4 Nb 2.86
Nb: 0.2500 0.2500 0.2500  4 Sb 2.86, 4 Tc 2.86

**ΔE to the lowest computed polymorph**: 214 meV per atom



| no. | energy (hartree per atom) |
| --- | --- |
| 1 | -0.1424 |
| 2 | -0.1585 |
| 3 | -0.1597 |
| 4 | -0.2261 |